Record 1
Below is crystalline RbCuTe2 at its relaxed geometry, with properties calculated at the PBE level.

a = 7.0159 Å, b = 7.0159 Å, c = 7.0159 Å
α = 106.98°, β = 106.98°, γ = 114.57°
Closest atoms and distances in Å follow each position.
Atoms (fractional coordinates):
Rb 0.0000 0.0000 0.0000  8 Te 3.72-3.78, 2 Cu 3.79
Rb 0.7500 0.2500 0.5000  8 Te 3.72-3.78, 2 Cu 3.79
Cu 0.2500 0.7500 0.5000  4 Te 2.58
Cu 0.5000 0.5000 0.0000  4 Te 2.58
Te 0.2343 0.6250 0.1093  2 Cu 2.58
Te 0.3750 0.4843 0.6093  2 Cu 2.58
Te 0.5157 0.1250 0.8907  2 Cu 2.58
Te 0.8750 0.7657 0.3907  2 Cu 2.58

Output
- M_tot (μB/atom) = 0.000
- formation energy without anion corrections (eV per formula unit) = -1.42
- crystal system = tetragonal
- DFT total energy (eV per atom) = -3.19

---

Record 2
Below is crystalline SmGdCoRu at its relaxed geometry, with properties calculated at the PBE level.

a = 4.8456 Å, b = 4.8456 Å, c = 4.8456 Å
α = 60.00°, β = 60.00°, γ = 60.00°
Closest atoms and distances in Å follow each position.
Atoms (fractional coordinates):
Sm 0.0000 0.0000 0.0000  4 Ru 2.97, 4 Co 2.97
Gd 0.5000 0.5000 0.5000  4 Ru 2.97, 4 Co 2.97
Co 0.2500 0.2500 0.2500  4 Gd 2.97, 4 Sm 2.97
Ru 0.7500 0.7500 0.7500  4 Gd 2.97, 4 Sm 2.97

Output
- M_tot (μB/atom) = 1.714
- formation energy (eV per atom) = -0.13
- crystal system = cubic
- DFT total energy (eV per atom) = -8.92

---

Record 3
Below is crystalline NaCd3Br at its relaxed geometry, with properties calculated at the PBE level.

a = 6.1150 Å, b = 6.1150 Å, c = 6.1150 Å
α = 90.00°, β = 90.00°, γ = 90.00°
Closest atoms and distances in Å follow each position.
Atoms (fractional coordinates):
Na 0.0000 0.0000 0.0000  12 Cd 4.32
Cd 0.0000 0.5000 0.5000  2 Br 3.06
Cd 0.5000 0.0000 0.5000  2 Br 3.06
Cd 0.5000 0.5000 0.0000  2 Br 3.06
Br 0.5000 0.5000 0.5000  6 Cd 3.06

Output
- M_tot (μB/atom) = 0.000
- polymorph energy (0 for the lowest one) (kJ per mole of atoms) = 10.5
- formation energy without anion corrections (eV per formula unit) = 1.17
- crystal system = cubic
- DFT total energy (eV per atom) = -0.91

---

Record 4
Below is crystalline Li2Pd2RuO6 at its relaxed geometry, with properties calculated at the PBE level.

a = 5.3504 Å, b = 5.3504 Å, c = 5.2613 Å
α = 102.38°, β = 102.38°, γ = 116.65°
Closest atoms and distances in Å follow each position.
Atoms (fractional coordinates):
Li 0.1683 0.8317 0.0000  6 O 2.15-2.35
Li 0.8317 0.1683 0.0000  6 O 2.15-2.35
Pd 0.3360 0.6640 0.5000  6 O 2.05-2.22
Pd 0.6640 0.3360 0.5000  6 O 2.05-2.22
Ru 0.0000 0.0000 0.5000  6 O 2.02-2.05
O 0.0678 0.4001 0.7176  1 Ru 2.02, 2 Pd 2.05-2.22, 1 Li 2.21
O 0.2290 0.2290 0.2800  1 Ru 2.05, 2 Pd 2.11, 2 Li 2.15
O 0.4001 0.0678 0.7176  1 Ru 2.02, 2 Pd 2.05-2.22, 1 Li 2.21
O 0.5999 0.9322 0.2824  1 Ru 2.02, 2 Pd 2.05-2.22, 1 Li 2.21
O 0.7710 0.7710 0.7200  1 Ru 2.05, 2 Pd 2.11, 2 Li 2.15
O 0.9322 0.5999 0.2824  1 Ru 2.02, 2 Pd 2.05-2.22, 1 Li 2.21

Output
- M_tot (μB/atom) = 0.002
- formation energy without anion corrections (eV per formula unit) = -9.81
- crystal system = monoclinic
- DFT total energy (eV per atom) = -5.73

---

Record 5
Below is crystalline PrZn2CdPt2 at its relaxed geometry, with properties calculated at the PBE level.

a = 4.4713 Å, b = 4.4713 Å, c = 6.7843 Å
α = 90.00°, β = 90.00°, γ = 120.00°
Closest atoms and distances in Å follow each position.
Atoms (fractional coordinates):
Pr 0.0000 0.0000 0.0000  6 Pt 3.21, 6 Zn 3.31, 2 Cd 3.39
Zn 0.3333 0.6667 0.3043  4 Pt 2.59-2.82
Zn 0.6667 0.3333 0.6957  4 Pt 2.59-2.82
Cd 0.0000 0.0000 0.5000  6 Zn 2.90, 6 Pt 2.98
Pt 0.3333 0.6667 0.7200  4 Zn 2.59-2.82
Pt 0.6667 0.3333 0.2800  4 Zn 2.59-2.82

Output
- M_tot (μB/atom) = 0.000
- formation energy (eV per atom) = -0.66
- crystal system = trigonal
- DFT total energy (eV per atom) = -4.05

---

Record 6
Below is crystalline Ho2Sn2PRh4 at its relaxed geometry, with properties calculated at the PBE level.

a = 6.2605 Å, b = 6.2605 Å, c = 6.2605 Å
α = 119.95°, β = 119.95°, γ = 90.09°
Closest atoms and distances in Å follow each position.
Atoms (fractional coordinates):
Ho 0.2027 0.2027 0.0000  1 P 2.63, 4 Rh 2.81
Ho 0.7973 0.7973 0.0000  1 P 2.63, 4 Rh 2.81
Sn 0.2500 0.7500 0.5000  8 Rh 3.13, 4 Ho 3.16
Sn 0.7500 0.2500 0.5000  8 Rh 3.13, 4 Ho 3.16
P 0.5000 0.5000 0.0000  4 Rh 2.27
Rh 0.2439 0.2439 0.4877  1 P 2.27
Rh 0.2439 0.7561 0.0000  1 P 2.27
Rh 0.7561 0.2439 0.0000  1 P 2.27
Rh 0.7561 0.7561 0.5123  1 P 2.27

Output
- M_tot (μB/atom) = 0.000
- formation energy (eV per atom) = -0.51
- crystal system = tetragonal
- DFT total energy (eV per atom) = -6.29

---

Record 7
Below is crystalline NaTmAlTl at its relaxed geometry, with properties calculated at the PBE level.

a = 5.1748 Å, b = 5.1748 Å, c = 5.1748 Å
α = 60.00°, β = 60.00°, γ = 60.00°
Closest atoms and distances in Å follow each position.
Atoms (fractional coordinates):
Na 0.0000 0.0000 0.0000  4 Al 3.17, 4 Tl 3.17
Tm 0.5000 0.5000 0.5000  4 Tl 3.17, 4 Al 3.17
Al 0.7500 0.7500 0.7500  4 Tm 3.17, 4 Na 3.17
Tl 0.2500 0.2500 0.2500  4 Tm 3.17, 4 Na 3.17

Output
- M_tot (μB/atom) = 0.000
- formation energy (eV per atom) = -0.09
- crystal system = cubic
- DFT total energy (eV per atom) = -3.07

---

Record 8
Below is crystalline SmHo4Rh5 at its relaxed geometry, with properties calculated at the PBE level.

a = 3.3935 Å, b = 3.3935 Å, c = 17.4884 Å
α = 90.00°, β = 90.00°, γ = 90.00°
Closest atoms and distances in Å follow each position.
Atoms (fractional coordinates):
Sm 0.0000 0.0000 0.0000  8 Rh 3.03, 4 Sm 3.39
Ho 0.0000 0.0000 0.2030  8 Rh 2.94-2.96
Ho 0.0000 0.0000 0.4011  8 Rh 2.96
Ho 0.0000 0.0000 0.5989  8 Rh 2.96
Ho 0.0000 0.0000 0.7970  8 Rh 2.94-2.96
Rh 0.5000 0.5000 0.1059  4 Ho 2.94, 4 Sm 3.03
Rh 0.5000 0.5000 0.3024  8 Ho 2.96
Rh 0.5000 0.5000 0.5000  8 Ho 2.96
Rh 0.5000 0.5000 0.6976  8 Ho 2.96
Rh 0.5000 0.5000 0.8941  4 Ho 2.94, 4 Sm 3.03

Output
- M_tot (μB/atom) = 0.000
- formation energy (eV per atom) = -0.86
- crystal system = tetragonal
- DFT total energy (eV per atom) = -6.84

---

Record 9
Below is crystalline ZnIr3I at its relaxed geometry, with properties calculated at the PBE level.

a = 4.8532 Å, b = 4.8532 Å, c = 4.8532 Å
α = 90.00°, β = 90.00°, γ = 90.00°
Closest atoms and distances in Å follow each position.
Atoms (fractional coordinates):
Zn 0.0000 0.0000 0.0000  12 Ir 3.43
Ir 0.0000 0.5000 0.5000  2 I 2.43
Ir 0.5000 0.0000 0.5000  2 I 2.43
Ir 0.5000 0.5000 0.0000  2 I 2.43
I 0.5000 0.5000 0.5000  6 Ir 2.43

Output
- M_tot (μB/atom) = 0.000
- polymorph energy (0 for the lowest one) (kJ per mole of atoms) = 30.0
- formation energy without anion corrections (eV per formula unit) = 9.92
- crystal system = cubic
- DFT total energy (eV per atom) = -3.90

---

Record 10
Below is crystalline TcNi2Se at its relaxed geometry, with properties calculated at the PBE level.

a = 2.8624 Å, b = 3.6435 Å, c = 5.1434 Å
α = 90.00°, β = 92.68°, γ = 90.00°
Closest atoms and distances in Å follow each position.
Atoms (fractional coordinates):
Tc 0.0000 0.0000 0.0000  2 Se 2.57, 8 Ni 2.61-2.64, 2 Tc 2.86
Ni 0.4705 0.5000 0.7616  2 Ni 2.45-2.70, 2 Se 2.60, 4 Tc 2.61-2.64
Ni 0.5295 0.5000 0.2384  2 Ni 2.45-2.70, 2 Se 2.60, 4 Tc 2.61-2.64
Se 0.0000 0.0000 0.5000  2 Tc 2.57, 8 Ni 2.60-2.76, 2 Se 2.86

Output
- M_tot (μB/atom) = 0.000
- formation energy without anion corrections (eV per formula unit) = 0.89
- crystal system = monoclinic
- DFT total energy (eV per atom) = -6.13

---

Record 11
Below is crystalline Ca2MgAlO5 at its relaxed geometry, with properties calculated at the PBE level.

a = 6.5801 Å, b = 6.5801 Å, c = 10.0406 Å
α = 90.00°, β = 90.00°, γ = 150.96°
Closest atoms and distances in Å follow each position.
Atoms (fractional coordinates):
Ca 0.1023 0.8977 0.5000  6 O 2.28-2.44
Ca 0.1399 0.8601 0.1314  7 O 2.41-2.54
Ca 0.8601 0.1399 0.6314  7 O 2.41-2.54
Ca 0.8977 0.1023 0.0000  6 O 2.28-2.44
Mg 0.2171 0.7829 0.8495  6 O 2.08-2.15
Mg 0.7829 0.2171 0.3495  6 O 2.08-2.15
Al 0.4689 0.5311 0.2892  5 O 1.80-2.00
Al 0.5311 0.4689 0.7892  5 O 1.80-2.00
O 0.0511 0.9489 0.8645  2 Al 1.83
O 0.2811 0.7189 0.4873  2 Mg 2.15, 1 Ca 2.28
O 0.3185 0.6815 0.2318  1 Al 2.00, 2 Mg 2.08
O 0.3797 0.6203 0.8226  1 Al 1.96, 1 Mg 2.09
O 0.4943 0.5057 0.1128  1 Al 1.80
O 0.5057 0.4943 0.6128  1 Al 1.80
O 0.6203 0.3797 0.3226  1 Al 1.96, 1 Mg 2.09
O 0.6815 0.3185 0.7318  1 Al 2.00, 2 Mg 2.08
O 0.7189 0.2811 0.9873  2 Mg 2.15, 1 Ca 2.28
O 0.9489 0.0511 0.3645  2 Al 1.83

Output
- M_tot (μB/atom) = 0.115
- formation energy without anion corrections (eV per formula unit) = -23.93
- crystal system = orthorhombic
- DFT total energy (eV per atom) = -6.45

---

Record 12
Below is crystalline Zn2GaGe at its relaxed geometry, with properties calculated at the PBE level.

a = 4.0877 Å, b = 4.0877 Å, c = 4.1270 Å
α = 90.00°, β = 90.00°, γ = 90.00°
Closest atoms and distances in Å follow each position.
Atoms (fractional coordinates):
Zn 0.0000 0.5000 0.0000  4 Zn 2.89, 4 Ge 2.90, 4 Ga 2.90
Zn 0.5000 0.0000 0.0000  4 Zn 2.89, 4 Ge 2.90, 4 Ga 2.90
Ga 0.0000 0.0000 0.5000  4 Ge 2.89, 8 Zn 2.90
Ge 0.5000 0.5000 0.5000  4 Ga 2.89, 8 Zn 2.90

Output
- M_tot (μB/atom) = 0.000
- formation energy (eV per atom) = 0.13
- polymorph energy (0 for the lowest one) (kJ per mole of atoms) = 0.4
- crystal system = tetragonal
- DFT total energy (eV per atom) = -2.42

---

| no. | calculated volume (Å³/cell) | DOS at the Fermi energy (states/eV/f.u.) |
| --- | --- | --- |
| 1 | 264.3 | 1.6 |
| 2 | 80.5 | 3.8 |
| 3 | 228.7 | 0.9 |
| 4 | 122.9 | 3.7 |
| 5 | 117.5 | 1.7 |
| 6 | 173.6 | 8.8 |
| 7 | 98.0 | 1.5 |
| 8 | 201.4 | 6.3 |
| 9 | 114.3 | 7.7 |
| 10 | 53.6 | 5.0 |
| 11 | 211.0 | 0.6 |
| 12 | 69.0 | 0.9 |